(one)
Compound: PmMoOs
Source: the Alexandria database
Functional: PBE
Structure: optimized geometry

```
12
Lattice="7.3893 0.0000 0.0000 0.0000 4.2844 0.0000 -2.4503 0.0000 9.1894" Properties=species:S:1:pos:R:3 pbc="T T T"
Pm 0.0066 0.0000 3.2132
Pm 1.2377 2.1422 5.9763
Pm 3.7013 2.1422 3.2132
Pm 4.9324 0.0000 5.9763
Mo -1.2176 2.1422 8.2128
Mo 2.4619 0.0000 0.9767
Mo 2.4770 0.0000 8.2128
Mo 6.1566 2.1422 0.9767
Os 1.2351 2.1422 1.5476
Os 0.0092 0.0000 7.6418
Os 4.9297 0.0000 1.5476
Os 3.7039 2.1422 7.6418
```



(two)
Compound: PmMoOs
Source: the Alexandria database
Functional: PBE
Structure: optimized geometry

```
12
Lattice="5.3444 0.0000 0.0000 0.0000 5.8430 0.0000 0.0000 0.0000 7.5308" Properties=species:S:1:pos:R:3 pbc="T T T"
Pm 0.0000 1.4608 0.9808
Pm 0.0000 4.3823 6.5500
Pm 2.6722 1.4608 2.7846
Pm 2.6722 4.3823 4.7462
Mo 1.3361 1.4608 5.6481
Mo 1.3361 4.3823 1.8827
Mo 4.0083 1.4608 5.6481
Mo 4.0083 4.3823 1.8827
Os 0.0000 0.0000 3.7654
Os 0.0000 2.9215 3.7654
Os 2.6722 0.0000 0.0000
Os 2.6722 2.9215 0.0000
```



Which of them is the most stable? Correct choice: (two).



(one)
Compound: MoOs2Pt
Source: the Alexandria database
Functional: PBE
Structure: optimized geometry

```
4
Lattice="3.9211 0.0000 0.0000 0.0000 3.9211 0.0000 0.0000 0.0000 3.8616" Properties=species:S:1:pos:R:3 pbc="T T T"
Mo 0.0000 0.0000 0.0000
Os 0.0000 1.9606 1.9308
Os 1.9606 0.0000 1.9308
Pt 1.9606 1.9606 0.0000
```



(two)
Compound: MoOs2Pt
Source: the Alexandria database
Functional: PBE
Structure: optimized geometry

```
8
Lattice="9.1735 0.0000 0.0000 0.0000 2.7549 0.0000 -0.8594 0.0000 4.7392" Properties=species:S:1:pos:R:3 pbc="T T T"
Mo 0.0000 0.0000 0.0000
Mo 4.5868 1.3775 0.0000
Os 2.0376 1.3775 1.1271
Os 1.6898 0.0000 3.6120
Os 6.6244 0.0000 1.1271
Os 6.2765 1.3775 3.6120
Pt -0.4297 1.3775 2.3696
Pt 4.1571 0.0000 2.3696
```



(three)
Compound: MoOs2Pt
Source: the Alexandria database
Functional: PBE
Structure: optimized geometry

```
8
Lattice="3.8956 0.0000 0.0000 0.0000 3.8956 0.0000 0.0000 0.0000 7.8414" Properties=species:S:1:pos:R:3 pbc="T T T"
Mo 0.0000 0.0000 0.0000
Mo 1.9478 1.9478 3.9207
Os 0.0000 0.0000 3.9207
Os 0.0000 1.9478 5.8811
Os 1.9478 0.0000 1.9604
Os 1.9478 1.9478 0.0000
Pt 0.0000 1.9478 1.9604
Pt 1.9478 0.0000 5.8811
```



Which of them is the most stable? Correct choice: (one).



(one)
Compound: MoOs2Pt
Source: the Alexandria database
Functional: PBE
Structure: optimized geometry

```
4
Lattice="2.7399 0.0000 0.0000 0.0000 3.9459 0.0000 0.0000 0.0000 5.5402" Properties=species:S:1:pos:R:3 pbc="T T T"
Mo 0.0000 0.0000 0.0000
Os 1.3699 1.9729 1.3532
Os 1.3699 1.9729 4.1870
Pt 0.0000 0.0000 2.7701
```



(two)
Compound: MoOs2Pt
Source: the Alexandria database
Functional: PBE
Structure: optimized geometry

```
8
Lattice="9.2112 0.0000 0.0000 0.0000 2.7590 0.0000 -0.8344 0.0000 4.7178" Properties=species:S:1:pos:R:3 pbc="T T T"
Mo 0.0000 0.0000 0.0000
Mo 4.6056 1.3795 0.0000
Os -0.3507 1.3795 2.4836
Os 1.6899 0.0000 3.4891
Os 4.2549 0.0000 2.4836
Os 6.2956 1.3795 3.4891
Pt 2.1256 1.3795 1.1823
Pt 6.7312 0.0000 1.1823
```



(three)
Compound: MoOs2Pt
Source: the Alexandria database
Functional: PBE
Structure: optimized geometry

```
4
Lattice="2.7494 0.0000 0.0000 0.0000 2.7494 0.0000 0.0000 0.0000 7.9972" Properties=species:S:1:pos:R:3 pbc="T T T"
Mo 0.0000 0.0000 0.0000
Os 0.0000 0.0000 3.8753
Os 1.3747 1.3747 2.1144
Pt 1.3747 1.3747 6.0085
```



(four)
Compound: MoOs2Pt
Source: the Alexandria database
Functional: PBE
Structure: optimized geometry

```
4
Lattice="2.7601 0.0000 0.0000 0.0000 2.7601 0.0000 0.0000 0.0000 7.8846" Properties=species:S:1:pos:R:3 pbc="T T T"
Mo 0.0000 0.0000 0.0000
Os 1.3801 1.3801 1.9300
Os 1.3801 1.3801 5.9546
Pt 0.0000 0.0000 3.9423
```



Which of them is the most stable? Correct choice: (three).



(one)
Compound: MoOsPt2
Source: the Alexandria database
Functional: PBE
Structure: optimized geometry

```
8
Lattice="3.8677 0.0000 0.0000 0.0000 3.8677 0.0000 0.0000 0.0000 8.1236" Properties=species:S:1:pos:R:3 pbc="T T T"
Mo 0.0000 0.0000 0.0000
Mo 1.9339 1.9339 4.0618
Os 0.0000 0.0000 4.0618
Os 1.9339 1.9339 0.0000
Pt 0.0000 1.9339 2.0309
Pt 0.0000 1.9339 6.0927
Pt 1.9339 0.0000 2.0309
Pt 1.9339 0.0000 6.0927
```



(two)
Compound: MoOsPt2
Source: the Alexandria database
Functional: PBE
Structure: optimized geometry

```
8
Lattice="9.2875 0.0000 0.0000 0.0000 2.7362 0.0000 -0.7856 0.0000 4.7911" Properties=species:S:1:pos:R:3 pbc="T T T"
Mo 0.0000 0.0000 0.0000
Mo 4.6438 1.3681 0.0000
Os 2.1202 1.3681 1.1406
Os 6.7640 0.0000 1.1406
Pt 1.7500 0.0000 3.5759
Pt 4.2004 0.0000 2.3390
Pt 6.3938 1.3681 3.5759
Pt 8.8442 1.3681 2.3390
```



Which of them is the most stable? Correct choice: (two).



(one)
Compound: MoOsPt2
Source: the Alexandria database
Functional: PBE
Structure: optimized geometry

```
4
Lattice="3.3315 0.0000 0.0000 0.0000 3.3315 0.0000 0.0000 0.0000 5.6059" Properties=species:S:1:pos:R:3 pbc="T T T"
Mo 0.0000 0.0000 0.0000
Os 1.6657 1.6657 1.3224
Pt 0.0000 0.0000 2.7265
Pt 1.6657 1.6657 4.1349
```



(two)
Compound: MoOsPt2
Source: the Alexandria database
Functional: PBE
Structure: optimized geometry

```
8
Lattice="5.4549 0.0000 0.0000 0.0000 8.0776 0.0000 0.0000 0.0000 2.7577" Properties=species:S:1:pos:R:3 pbc="T T T"
Mo 0.0000 0.0000 0.0000
Mo 2.7274 4.0388 0.0000
Os 0.0000 4.0388 0.0000
Os 2.7274 0.0000 0.0000
Pt 1.3637 2.0194 1.3788
Pt 1.3637 6.0582 1.3788
Pt 4.0912 2.0194 1.3788
Pt 4.0912 6.0582 1.3788
```



Which of them is the most stable? Correct choice: (two).



(one)
Compound: SrMoOsPt2
Source: the Alexandria database
Functional: PBE
Structure: optimized geometry

```
5
Lattice="4.9062 0.0000 0.0000 0.0000 4.9062 0.0000 0.0000 0.0000 4.8459" Properties=species:S:1:pos:R:3 pbc="T T T"
Sr 0.0000 0.0000 0.0000
Mo 0.0000 0.0000 2.4229
Os 2.4531 2.4531 2.4229
Pt 0.0000 2.4531 0.0000
Pt 2.4531 0.0000 0.0000
```



(two)
Compound: SrMoOsPt2
Source: the Alexandria database
Functional: PBE
Structure: optimized geometry

```
5
Lattice="4.8811 0.0000 0.0000 0.0000 4.8811 0.0000 0.0000 0.0000 5.4269" Properties=species:S:1:pos:R:3 pbc="T T T"
Sr 0.0000 0.0000 0.0000
Mo 2.4406 2.4406 0.0000
Os 0.0000 0.0000 2.7135
Pt 0.0000 2.4406 2.7135
Pt 2.4406 0.0000 2.7135
```



Which of them is the most stable? Correct choice: (two).



(one)
Compound: RbMoOs3
Source: the Alexandria database
Functional: PBE
Structure: optimized geometry

```
5
Lattice="4.6226 0.0000 0.0000 0.0000 4.6226 0.0000 0.0000 0.0000 4.6226" Properties=species:S:1:pos:R:3 pbc="T T T"
Rb 0.0000 0.0000 0.0000
Mo 2.3113 2.3113 2.3113
Os 0.0000 0.0000 2.3113
Os 0.0000 2.3113 0.0000
Os 2.3113 0.0000 0.0000
```



(two)
Compound: RbMoOs3
Source: the Alexandria database
Functional: PBE
Structure: optimized geometry

```
5
Lattice="4.8418 0.0000 0.0000 0.0000 4.8418 0.0000 0.0000 0.0000 4.8418" Properties=species:S:1:pos:R:3 pbc="T T T"
Rb 0.0000 0.0000 0.0000
Mo 2.4209 2.4209 2.4209
Os 0.0000 2.4209 2.4209
Os 2.4209 0.0000 2.4209
Os 2.4209 2.4209 0.0000
```



Which of them is the most stable? Correct choice: (two).



(one)
Compound: RbMo3Os
Source: the Alexandria database
Functional: PBE
Structure: optimized geometry

```
5
Lattice="4.9359 0.0000 0.0000 0.0000 4.9359 0.0000 0.0000 0.0000 4.9359" Properties=species:S:1:pos:R:3 pbc="T T T"
Rb 0.0000 0.0000 0.0000
Mo 0.0000 2.4679 2.4679
Mo 2.4679 0.0000 2.4679
Mo 2.4679 2.4679 0.0000
Os 2.4679 2.4679 2.4679
```



(two)
Compound: RbMo3Os
Source: the Alexandria database
Functional: PBE
Structure: optimized geometry

```
5
Lattice="4.5684 0.0000 0.0000 0.0000 4.5684 0.0000 0.0000 0.0000 4.5684" Properties=species:S:1:pos:R:3 pbc="T T T"
Rb 0.0000 0.0000 0.0000
Mo 0.0000 0.0000 2.2842
Mo 0.0000 2.2842 0.0000
Mo 2.2842 0.0000 0.0000
Os 2.2842 2.2842 2.2842
```



Which of them is the most stable? Correct choice: (one).



(one)
Compound: ReMoOs3
Source: the Alexandria database
Functional: PBE
Structure: optimized geometry

```
5
Lattice="4.6709 0.0000 0.0000 0.0000 4.6709 0.0000 0.0000 0.0000 4.6709" Properties=species:S:1:pos:R:3 pbc="T T T"
Re 0.0000 0.0000 0.0000
Mo 2.3355 2.3355 2.3355
Os 0.0000 0.0000 2.3355
Os 0.0000 2.3355 0.0000
Os 2.3355 0.0000 0.0000
```



(two)
Compound: ReMoOs3
Source: the Alexandria database
Functional: PBE
Structure: optimized geometry

```
20
Lattice="6.7396 0.0000 0.0000 0.0000 5.5070 0.0000 -4.4421 0.0000 7.9632" Properties=species:S:1:pos:R:3 pbc="T T T"
Re 0.0446 0.7183 1.1793
Re -2.1765 2.0353 5.1608
Re 4.4740 3.4718 2.8023
Re 2.2530 4.7888 6.7839
Mo -2.2126 3.4640 7.5851
Mo 0.0085 4.7965 3.6035
Mo 2.2891 0.7105 4.3596
Mo 4.5101 2.0430 0.3780
Os 0.0042 3.4264 1.2035
Os -2.2169 4.8341 5.1851
Os -2.2143 0.6697 7.5607
Os 0.0067 2.0838 3.5791
Os 0.0123 0.6900 5.9870
Os 2.2334 2.0635 2.0054
Os 0.0642 3.4435 5.9577
Os 2.2852 4.8170 1.9761
Os 2.2908 3.4232 4.3840
Os 4.5119 4.8373 0.4024
Os 4.5144 0.6729 2.7781
Os 2.2934 2.0806 6.7596
```



Which of them is the most stable? Correct choice: (two).



(one)
Compound: ReMoOs2
Source: the Alexandria database
Functional: PBE
Structure: optimized geometry

```
4
Lattice="3.1143 0.0000 0.0000 0.0000 4.3786 0.0000 0.0000 0.0000 4.4224" Properties=species:S:1:pos:R:3 pbc="T T T"
Re 0.0000 0.0000 0.0000
Mo 1.5572 0.0000 2.2112
Os 0.0000 2.1893 2.2112
Os 1.5572 2.1893 0.0000
```



(two)
Compound: ReMoOs2
Source: the Alexandria database
Functional: PBE
Structure: optimized geometry

```
8
Lattice="3.9072 0.0000 0.0000 0.0000 3.9072 0.0000 0.0000 0.0000 7.7867" Properties=species:S:1:pos:R:3 pbc="T T T"
Re 0.0000 0.0000 0.0000
Re 1.9536 1.9536 3.8933
Mo 0.0000 0.0000 3.8933
Mo 1.9536 1.9536 0.0000
Os 0.0000 1.9536 1.9467
Os 0.0000 1.9536 5.8400
Os 1.9536 0.0000 1.9467
Os 1.9536 0.0000 5.8400
```



Which of them is the most stable? Correct choice: (two).



(one)
Compound: Re2MoOs2
Source: the Alexandria database
Functional: PBE
Structure: optimized geometry

```
10
Lattice="4.6586 -2.4090 0.0000 4.6586 2.4090 0.0000 -2.6035 0.0000 6.6172" Properties=species:S:1:pos:R:3 pbc="T T T"
Re 1.4221 0.8065 0.9986
Re 0.1204 -0.8065 4.3072
Re 6.5932 0.8065 2.3100
Re 5.2914 -0.8065 5.6186
Mo 4.0077 1.6157 1.6543
Mo 2.7059 -1.6157 4.9629
Os 2.2651 0.7963 3.6342
Os 3.1467 0.7963 6.2916
Os 3.5669 -0.7963 0.3256
Os 4.4485 -0.7963 2.9830
```



(two)
Compound: Re2MoOs2
Source: the Alexandria database
Functional: PBE
Structure: optimized geometry

```
10
Lattice="7.5023 0.0000 0.0000 0.0000 7.5023 0.0000 0.0000 0.0000 2.7782" Properties=species:S:1:pos:R:3 pbc="T T T"
Re 0.9334 2.8178 0.0000
Re 2.8178 6.5689 0.0000
Re 4.6846 0.9334 0.0000
Re 6.5689 4.6846 0.0000
Mo 0.0000 0.0000 0.0000
Mo 3.7512 3.7512 0.0000
Os 1.2755 5.0267 1.3891
Os 2.4757 1.2755 1.3891
Os 5.0267 6.2268 1.3891
Os 6.2268 2.4757 1.3891
```



Which of them is the most stable? Correct choice: (one).



(one)
Compound: ReMoOs4
Source: the Alexandria database
Functional: PBE
Structure: optimized geometry

```
6
Lattice="0.0000 3.5960 3.5960 3.5960 0.0000 3.5960 3.5960 3.5960 0.0000" Properties=species:S:1:pos:R:3 pbc="T T T"
Re 0.0000 0.0000 0.0000
Mo 1.7980 1.7980 1.7980
Os 4.4958 2.6962 2.6962
Os 2.6962 4.4958 2.6962
Os 2.6962 2.6962 4.4958
Os 4.4958 4.4958 4.4958
```



(two)
Compound: ReMoOs4
Source: the Alexandria database
Functional: PBE
Structure: optimized geometry

```
12
Lattice="2.7417 -7.5400 0.0000 2.7417 7.5400 0.0000 0.0000 0.0000 4.3435" Properties=species:S:1:pos:R:3 pbc="T T T"
Re 2.7417 5.5942 3.2576
Re 2.7417 -5.5942 1.0859
Mo 2.7417 1.8272 1.0859
Mo 2.7417 -1.8272 3.2576
Os 1.3752 3.1413 3.2576
Os 1.3505 0.6301 3.2576
Os 1.3505 -0.6301 1.0859
Os 1.3752 -3.1413 1.0859
Os 4.1081 3.1413 3.2576
Os 4.1328 0.6301 3.2576
Os 4.1328 -0.6301 1.0859
Os 4.1081 -3.1413 1.0859
```



Which of them is the most stable? Correct choice: (two).